This record from the Alexandria database describes a geometry-optimized MnSnPd2F structure. The functional is GGA+U.

abc: 5.049 5.049 4.268
angles: 90.00 90.00 90.00
Atoms (fractional coordinates):
Mn1 0.000 0.000 0.000
Sn1 0.500 0.500 0.500
Pd1 0.000 0.500 0.500
Pd2 0.500 0.000 0.500
F1 0.500 0.500 0.000

M_tot ... 4.90 μB per formula unit
Raw total energy ... -4.984 eV/atom